1.
VASP calculation (PBEsol) on crystalline MoIr3O at its relaxed geometry.

## Properties
As for the formation energy from raw total energies: 838 meV per atom.

Structure (CIF):
```
data_MoIr3O
_cell_length_a 4.088
_cell_length_b 4.088
_cell_length_c 4.088
_cell_angle_alpha 90.00
_cell_angle_beta 90.00
_cell_angle_gamma 90.00
_space_group_name_H-M_alt 'P m -3 m'
_space_group_IT_number 221
_space_group_name_Hall '-P 4 2 3'
loop_
_atom_site_label
_atom_site_fract_x
_atom_site_fract_y
_atom_site_fract_z
Mo1 0.000 0.000 0.000
Ir1 0.000 0.500 0.500
O1 0.500 0.500 0.500
```

2.
VASP calculation (PBEsol) on crystalline SeIO2F at its relaxed geometry.

## Properties
As for the formation energy from raw total energies: 1003 meV per atom.

Structure (CIF):
```
data_SeIO2F
_cell_length_a 4.318
_cell_length_b 4.318
_cell_length_c 4.149
_cell_angle_alpha 90.00
_cell_angle_beta 90.00
_cell_angle_gamma 90.00
_space_group_name_H-M_alt 'P 4/m m m'
_space_group_IT_number 123
_space_group_name_Hall '-P 4 2'
loop_
_atom_site_label
_atom_site_fract_x
_atom_site_fract_y
_atom_site_fract_z
Se1 0.000 0.000 0.000
I1 0.500 0.500 0.000
O1 0.000 0.500 0.500
F1 0.500 0.500 0.500
```

3.
VASP calculation (PBEsol) on crystalline LiSc4Al at its relaxed geometry.

## Properties
The total energy is -123.12 eV/cell.

Structure (CIF):
```
data_LiSc4Al
_cell_length_a 8.138
_cell_length_b 8.138
_cell_length_c 8.138
_cell_angle_alpha 90.00
_cell_angle_beta 90.00
_cell_angle_gamma 90.00
_space_group_name_H-M_alt 'F -4 3 m'
_space_group_IT_number 216
_space_group_name_Hall 'F -4 2 3'
loop_
_atom_site_label
_atom_site_fract_x
_atom_site_fract_y
_atom_site_fract_z
Li1 0.000 0.000 0.000
Sc1 0.124 0.124 0.624
Al1 0.250 0.250 0.250
```